VASP calculation (PBE) on an optimized crystal structure of Mg2AlIr.

Unit cell a=5.1132 b=5.1132 c=3.9415 alpha=67.32 beta=67.32 gamma=43.93
Positions (direct):
1 Al 0.7500 0.7500 0.7500
2 Ir 0.2500 0.2500 0.2500
3 Mg 0.9987 0.9987 0.0013
4 Mg 0.5013 0.5013 0.4987

Values from the calculation:
The formation energy is -0.34 eV per atom. The value obtained for the total magnetic moment is 0.0 μB/f.u. Its space-group type is Immm (71). For the calculated density, the calculation gives 6.8 g/cm3.